Li2VO2F: relaxed, GGA+U.

Output
excess energy over the best structure of this formula in the dataset	0	meV/atom
calculated density	3.47	g/cm³
VASP energy	-0.4579	Ry/atom
N(E_F)	0.000	states/eV per cell

abc: 2.9722 2.9722 7.2532
angles: 90.00 90.00 120.00
Last column: nearest neighbours and their distance in Å.
Space group P-3m1 (No. 164)
Symmetry-distinct sites (fractional):
Li1 0.3333 0.6667 0.3399 [2 per cell]  3 F 2.07, 3 O 2.17
V1 0.0000 0.0000 0.0000 [1 per cell]  6 O 2.06
O1 0.3333 0.6667 0.8436 [2 per cell]  3 V 2.06, 3 Li 2.17
F1 0.0000 0.0000 0.5000 [1 per cell]  6 Li 2.07